Compound: YTi3Cu
Source: Alexandria via LeMat-Bulk
Functional: GGA-PBE
Structure: relaxed

Cell lengths 4.7494, 4.7494, 4.7494 Å; angles 90.00, 90.00, 90.00 degrees
With the nearest neighbours (Å) after each atom.
Element x y z (fractional)
1 Y 0.5000 0.5000 0.5000  12 Ti 3.36
2 Cu 0.0000 0.0000 0.0000  6 Ti 2.37
3 Ti 0.0000 0.5000 0.0000  2 Cu 2.37
4 Ti 0.0000 0.0000 0.5000  2 Cu 2.37
5 Ti 0.5000 0.0000 0.0000  2 Cu 2.37

## Properties
- Size of the total moment: 0.45 μB/atom
- ΔH_f (0 K): 0.49 eV per atom
- Relative energy among the computed polymorphs: 0.0 meV/atom
- Theoretical density: 4589 kg/m3
- Space group: No. 221